Entry from Alexandria via LeMat-Bulk: a geometry-optimized Zr2ScNb2 structure (PBE).

Lattice parameters (Å, degrees): 7.726 7.726 3.671 90.00 90.00 90.00
Fractional coordinates of all 10 atoms:
Zr 0.168 0.332 0.000
Zr 0.332 0.832 0.000
Zr 0.668 0.168 0.000
Zr 0.832 0.668 0.000
Sc 0.000 0.000 0.500
Sc 0.500 0.500 0.500
Nb 0.128 0.628 0.500
Nb 0.372 0.128 0.500
Nb 0.628 0.872 0.500
Nb 0.872 0.372 0.500

Values from the calculation:
Calculated volume in Å³/cell: 219.12
Space group: P4/mbm
ΔE_f in eV per atom: 0.162

---

Entry from Alexandria via LeMat-Bulk: a geometry-optimized Zr2ScNb structure (PBE).

Lattice parameters (Å, degrees): 3.559 3.559 6.960 90.00 90.00 90.00
Fractional coordinates of all 4 atoms:
Zr 0.000 0.000 0.221
Zr 0.000 0.000 0.779
Sc 0.500 0.500 0.500
Nb 0.500 0.500 0.000

Values from the calculation:
Calculated volume in Å³/cell: 88.15
Space group: P4/mmm
ΔE_f in eV per atom: 0.072

---

Entry from Alexandria via LeMat-Bulk: a geometry-optimized ZrSc2Nb structure (PBE).

Lattice parameters (Å, degrees): 3.672 3.672 6.439 90.00 90.00 90.00
Fractional coordinates of all 4 atoms:
Zr 0.000 0.000 0.000
Sc 0.500 0.500 0.273
Sc 0.500 0.500 0.727
Nb 0.000 0.000 0.500

Values from the calculation:
Calculated volume in Å³/cell: 86.84
Space group: P4/mmm
ΔE_f in eV per atom: 0.185

---

Entry from Alexandria via LeMat-Bulk: a geometry-optimized Zr2ScNb structure (PBE).

Lattice parameters (Å, degrees): 10.326 10.326 10.326 17.70 17.70 17.70
Fractional coordinates of all 4 atoms:
Zr 0.000 0.000 0.000
Zr 0.174 0.174 0.174
Sc 0.754 0.754 0.754
Nb 0.587 0.587 0.587

Values from the calculation:
Calculated volume in Å³/cell: 88.81
Space group: R3m
ΔE_f in eV per atom: 0.148

---

Entry from Alexandria via LeMat-Bulk: a geometry-optimized ZrSc3Nb structure (PBE).

Lattice parameters (Å, degrees): 5.025 5.025 5.025 90.00 90.00 90.00
Fractional coordinates of all 5 atoms:
Zr 0.000 0.000 0.000
Sc 0.000 0.500 0.500
Sc 0.500 0.000 0.500
Sc 0.500 0.500 0.000
Nb 0.500 0.500 0.500

Values from the calculation:
Calculated volume in Å³/cell: 126.89
Space group: Pm-3m
ΔE_f in eV per atom: 0.699

---

Entry from Alexandria via LeMat-Bulk: a geometry-optimized NbSe2 structure (PBE).

Lattice parameters (Å, degrees): 3.478 3.478 7.281 90.00 90.00 120.00
Fractional coordinates of all 3 atoms:
Nb 0.000 0.000 0.000
Se 0.333 0.667 0.231
Se 0.333 0.667 0.769

Values from the calculation:
Formation energy without anion corrections in eV per atom: -0.85
Calculated volume in Å³/cell: 76.28
Space group: P-6m2

---

Entry from Alexandria via LeMat-Bulk: a geometry-optimized NbSe2 structure (PBE).

Lattice parameters (Å, degrees): 3.477 3.477 27.069 90.00 90.00 119.96
Fractional coordinates of all 12 atoms:
Nb 0.238 0.238 0.123
Nb 0.238 0.238 0.877
Nb 0.762 0.762 0.377
Nb 0.762 0.762 0.623
Se 0.095 0.428 0.315
Se 0.095 0.429 0.439
Se 0.428 0.095 0.685
Se 0.429 0.095 0.561
Se 0.571 0.905 0.061
Se 0.572 0.905 0.185
Se 0.905 0.571 0.939
Se 0.905 0.572 0.815

Values from the calculation:
Formation energy without anion corrections in eV per atom: -0.86
Calculated volume in Å³/cell: 283.46
Space group: C222_1

---

Entry from Alexandria via LeMat-Bulk: a geometry-optimized Nb3Se4 structure (PBE).

Lattice parameters (Å, degrees): 10.149 10.149 3.477 90.00 90.00 120.00
Fractional coordinates of all 14 atoms:
Nb 0.108 0.620 0.250
Nb 0.380 0.487 0.250
Nb 0.487 0.108 0.750
Nb 0.513 0.892 0.250
Nb 0.620 0.513 0.750
Nb 0.892 0.380 0.750
Se 0.061 0.341 0.250
Se 0.280 0.939 0.250
Se 0.333 0.667 0.750
Se 0.341 0.280 0.750
Se 0.659 0.720 0.250
Se 0.667 0.333 0.250
Se 0.720 0.061 0.750
Se 0.939 0.659 0.750

Values from the calculation:
Formation energy without anion corrections in eV per atom: -0.88
Calculated volume in Å³/cell: 310.19
Space group: P6_3/m

---

Entry from Alexandria via LeMat-Bulk: a geometry-optimized NbSe3 structure (PBE).

Lattice parameters (Å, degrees): 5.396 3.495 9.603 90.00 94.97 90.00
Fractional coordinates of all 8 atoms:
Nb 0.224 0.250 0.336
Nb 0.776 0.750 0.664
Se 0.044 0.250 0.820
Se 0.257 0.750 0.547
Se 0.445 0.750 0.180
Se 0.555 0.250 0.820
Se 0.743 0.250 0.453
Se 0.956 0.750 0.180

Values from the calculation:
Formation energy without anion corrections in eV per atom: -0.64
Calculated volume in Å³/cell: 180.40
Space group: P2_1/m

---

Entry from Alexandria via LeMat-Bulk: a geometry-optimized NbSe structure (PBE).

Lattice parameters (Å, degrees): 9.228 9.228 3.765 90.00 90.00 120.00
Fractional coordinates of all 12 atoms:
Nb 0.128 0.631 0.250
Nb 0.369 0.497 0.250
Nb 0.497 0.128 0.750
Nb 0.503 0.872 0.250
Nb 0.631 0.503 0.750
Nb 0.872 0.369 0.750
Se 0.031 0.318 0.250
Se 0.286 0.969 0.250
Se 0.318 0.286 0.750
Se 0.682 0.714 0.250
Se 0.714 0.031 0.750
Se 0.969 0.682 0.750

Values from the calculation:
Formation energy without anion corrections in eV per atom: -0.52
Calculated volume in Å³/cell: 277.62
Space group: P6_3/m

---

Entry from Alexandria via LeMat-Bulk: a geometry-optimized NbSe2 structure (PBE).

Lattice parameters (Å, degrees): 7.037 7.037 7.037 28.57 28.57 28.57
Fractional coordinates of all 3 atoms:
Nb 0.000 0.000 0.000
Se 0.250 0.250 0.250
Se 0.417 0.417 0.417

Values from the calculation:
Formation energy without anion corrections in eV per atom: -0.86
Calculated volume in Å³/cell: 70.44
Space group: R3m

---

Entry from Alexandria via LeMat-Bulk: a geometry-optimized Nb3Se structure (PBE).

Lattice parameters (Å, degrees): 5.758 5.758 4.922 90.00 90.00 120.00
Fractional coordinates of all 8 atoms:
Nb 0.160 0.321 0.250
Nb 0.160 0.840 0.250
Nb 0.321 0.160 0.750
Nb 0.679 0.840 0.250
Nb 0.840 0.160 0.750
Nb 0.840 0.679 0.750
Se 0.333 0.667 0.750
Se 0.667 0.333 0.250

Values from the calculation:
Formation energy without anion corrections in eV per atom: 0.00
Calculated volume in Å³/cell: 141.30
Space group: P6_3/mmc